1.
Here is ZrSc2CoCu after structural relaxation from the Alexandria database. Energies are from GGA-PBEsol.

Values from the calculation:
E_tot ... -5.45 eV per atom

Cell lengths 4.9863, 4.9863, 4.5491 Å; angles 90.00, 90.00, 90.00 degrees
Space group P4/mmm (No. 123)
Symmetry-distinct sites (fractional):
Zr: 0.0000 0.0000 0.0000 [1 per cell]
Sc: 0.0000 0.5000 0.0000 [2 per cell]
Co: 0.5000 0.5000 0.5000 [1 per cell]
Cu: 0.0000 0.0000 0.5000 [1 per cell]

***

2.
Here is LiSbPb2 after structural relaxation from the Alexandria database. Energies are from GGA-PBEsol.

Values from the calculation:
E_tot ... -3.77 eV per atom

Cell lengths 4.3795, 4.9637, 9.6972 Å; angles 90.00, 90.00, 90.00 degrees
Space group Imm2 (No. 44)
Symmetry-distinct sites (fractional):
Li: 0.0000 0.0000 0.0000 [2 per cell]
Sb: 0.0000 0.5000 0.2750 [2 per cell]
Pb: 0.0000 0.0000 0.5195 [2 per cell]
Pb: 0.0000 0.5000 0.7565 [2 per cell]

***

3.
Here is Mo3Se4S2 after structural relaxation from the Alexandria database. Energies are from GGA-PBEsol.

Values from the calculation:
E_tot ... -7.39 eV per atom

Cell lengths 3.2228, 3.2228, 20.0913 Å; angles 90.00, 90.00, 120.00 degrees
Space group P-6m2 (No. 187)
Symmetry-distinct sites (fractional):
Mo: 0.0000 0.0000 0.0000 [1 per cell]
Mo: 0.3333 0.6667 0.3152 [2 per cell]
Se: 0.0000 0.0000 0.2315 [2 per cell]
Se: 0.0000 0.0000 0.3988 [2 per cell]
S: 0.3333 0.6667 0.0762 [2 per cell]

***

4.
Here is Sr2CrRu after structural relaxation from the Alexandria database. Energies are from GGA-PBEsol.

Values from the calculation:
Energy above the most stable polymorph in this dataset ... 563 meV/atom
E_tot ... -5.12 eV per atom

Cell lengths 7.3141, 7.3141, 7.3141 Å; angles 90.00, 90.00, 90.00 degrees
Space group Fm-3m (No. 225)
Symmetry-distinct sites (fractional):
Sr: 0.2500 0.2500 0.2500 [8 per cell]
Cr: 0.0000 0.0000 0.0000 [4 per cell]
Ru: 0.0000 0.0000 0.5000 [4 per cell]

***

5.
Here is SeBr after structural relaxation from the Alexandria database. Energies are from GGA-PBEsol.

Values from the calculation:
E_tot ... -2.90 eV per atom

Cell lengths 7.3074, 13.9914, 4.8591 Å; angles 90.00, 92.28, 90.00 degrees
Space group P2_1/c (No. 14)
Symmetry-distinct sites (fractional):
Se: 0.1383 0.1306 0.3849 [4 per cell]
Se: 0.2905 0.0287 0.6703 [4 per cell]
Br: 0.1655 0.6432 0.9027 [4 per cell]
Br: 0.4462 0.1403 0.0075 [4 per cell]

***

6.
Here is Cs3W2Cl9 after structural relaxation from the Alexandria database. Energies are from GGA-PBEsol.

Values from the calculation:
E_tot ... -4.77 eV per atom

Cell lengths 7.2391, 7.2391, 17.7142 Å; angles 90.00, 90.00, 120.00 degrees
Space group P6_3/mmc (No. 194)
Symmetry-distinct sites (fractional):
Cs: 0.0000 0.0000 0.2500 [2 per cell]
Cs: 0.3333 0.6667 0.0713 [4 per cell]
W: 0.3333 0.6667 0.6724 [4 per cell]
Cl: 0.0078 0.5039 0.7500 [6 per cell]
Cl: 0.1775 0.3550 0.5952 [12 per cell]

***

7.
Here is NbCrBr3 after structural relaxation from the Alexandria database. Energies are from GGA-PBEsol.

Values from the calculation:
E_tot ... -5.03 eV per atom

Cell lengths 5.1513, 5.1513, 5.1513 Å; angles 90.00, 90.00, 90.00 degrees
Space group Pm-3m (No. 221)
Symmetry-distinct sites (fractional):
Nb: 0.0000 0.0000 0.0000 [1 per cell]
Cr: 0.5000 0.5000 0.5000 [1 per cell]
Br: 0.0000 0.0000 0.5000 [3 per cell]

***

8.
Here is Ba2TaRu after structural relaxation from the Alexandria database. Energies are from GGA-PBEsol.

Values from the calculation:
Energy above the most stable polymorph in this dataset ... 0 meV/atom
E_tot ... -6.40 eV per atom

Cell lengths 3.3673, 3.4618, 10.0562 Å; angles 90.00, 99.73, 90.00 degrees
Space group Pm (No. 6)
Symmetry-distinct sites (fractional):
Ba: 0.0000 0.0000 0.0000 [1 per cell]
Ba: 0.1875 0.5000 0.3809 [1 per cell]
Ta: 0.3622 0.5000 0.7250 [1 per cell]
Ru: 0.8154 0.0000 0.6320 [1 per cell]

***

9.
Here is Tc2RuCl after structural relaxation from the Alexandria database. Energies are from GGA-PBEsol.

Values from the calculation:
Energy above the most stable polymorph in this dataset ... 269 meV/atom
E_tot ... -7.91 eV per atom

Cell lengths 6.0441, 6.0441, 6.0441 Å; angles 90.00, 90.00, 90.00 degrees
Space group Fm-3m (No. 225)
Symmetry-distinct sites (fractional):
Tc: 0.2500 0.2500 0.2500 [8 per cell]
Ru: 0.0000 0.0000 0.0000 [4 per cell]
Cl: 0.0000 0.0000 0.5000 [4 per cell]

***

10.
Here is K2ZrIr after structural relaxation from the Alexandria database. Energies are from GGA-PBEsol.

Values from the calculation:
Energy above the most stable polymorph in this dataset ... 478 meV/atom
E_tot ... -4.12 eV per atom

Cell lengths 4.5398, 4.5398, 5.2804 Å; angles 90.00, 90.00, 90.00 degrees
Space group P4/mmm (No. 123)
Symmetry-distinct sites (fractional):
K: 0.0000 0.0000 0.2412 [2 per cell]
Zr: 0.5000 0.5000 0.5000 [1 per cell]
Ir: 0.5000 0.5000 0.0000 [1 per cell]

***

11.
Here is MnCd2Ag after structural relaxation from the Alexandria database. Energies are from GGA-PBEsol.

Values from the calculation:
E_tot ... -3.66 eV per atom

Cell lengths 3.2032, 4.7072, 9.3567 Å; angles 90.00, 90.00, 90.00 degrees
Space group Imm2 (No. 44)
Symmetry-distinct sites (fractional):
Mn: 0.0000 0.0000 0.0000 [2 per cell]
Cd: 0.0000 0.0000 0.4903 [2 per cell]
Cd: 0.0000 0.5000 0.2527 [2 per cell]
Ag: 0.0000 0.5000 0.7363 [2 per cell]

***

12.
Here is Ba2TaTcN after structural relaxation from the Alexandria database. Energies are from GGA-PBEsol.

Values from the calculation:
E_tot ... -5.53 eV per atom

Cell lengths 6.2179, 6.2179, 4.4858 Å; angles 90.00, 90.00, 90.00 degrees
Space group P4/mmm (No. 123)
Symmetry-distinct sites (fractional):
Ba: 0.0000 0.5000 0.0000 [2 per cell]
Ta: 0.0000 0.0000 0.0000 [1 per cell]
Tc: 0.0000 0.0000 0.5000 [1 per cell]
N: 0.5000 0.5000 0.5000 [1 per cell]

***

13.
Here is TaTlCr2 after structural relaxation from the Alexandria database. Energies are from GGA-PBEsol.

Values from the calculation:
Energy above the most stable polymorph in this dataset ... 0 meV/atom
E_tot ... -8.45 eV per atom

Cell lengths 3.1467, 4.3825, 8.8084 Å; angles 90.00, 90.00, 90.00 degrees
Space group Imm2 (No. 44)
Symmetry-distinct sites (fractional):
Ta: 0.0000 0.0000 0.0000 [2 per cell]
Tl: 0.0000 0.5000 0.2219 [2 per cell]
Cr: 0.0000 0.0000 0.4584 [2 per cell]
Cr: 0.0000 0.5000 0.7555 [2 per cell]

***

14.
Here is SrNiW2 after structural relaxation from the Alexandria database. Energies are from GGA-PBEsol.

Values from the calculation:
Energy above the most stable polymorph in this dataset ... 0 meV/atom
E_tot ... -8.30 eV per atom

Cell lengths 3.1973, 3.1973, 7.3998 Å; angles 90.00, 90.00, 90.00 degrees
Space group P4mm (No. 99)
Symmetry-distinct sites (fractional):
Sr: 0.0000 0.0000 0.0000 [1 per cell]
Ni: 0.5000 0.5000 0.6977 [1 per cell]
W: 0.0000 0.0000 0.5172 [1 per cell]
W: 0.5000 0.5000 0.3393 [1 per cell]

***

15.
Here is MnBeSb2 after structural relaxation from the Alexandria database. Energies are from GGA-PBEsol.

Values from the calculation:
E_tot ... -5.20 eV per atom

Cell lengths 7.1935, 6.9962, 3.0273 Å; angles 90.00, 102.59, 90.00 degrees
Space group C2/m (No. 12)
Symmetry-distinct sites (fractional):
Mn: 0.0000 0.0000 0.0000 [2 per cell]
Be: 0.0000 0.5000 0.0000 [2 per cell]
Sb: 0.2500 0.2500 0.5000 [4 per cell]

***

16.
Here is Sr4YAl after structural relaxation from the Alexandria database. Energies are from GGA-PBEsol.

Values from the calculation:
E_tot ... -2.48 eV per atom

Cell lengths 9.8341, 9.8341, 9.8341 Å; angles 90.00, 90.00, 90.00 degrees
Space group F-43m (No. 216)
Symmetry-distinct sites (fractional):
Sr: 0.1248 0.1248 0.1248 [16 per cell]
Y: 0.0000 0.0000 0.5000 [4 per cell]
Al: 0.2500 0.2500 0.7500 [4 per cell]

***

17.
Here is Mn5Sb after structural relaxation from the Alexandria database. Energies are from GGA-PBEsol.

Values from the calculation:
Energy above the most stable polymorph in this dataset ... 36 meV/atom
E_tot ... -8.76 eV per atom

Cell lengths 8.1670, 3.6125, 5.2817 Å; angles 90.00, 108.65, 90.00 degrees
Space group C2/m (No. 12)
Symmetry-distinct sites (fractional):
Mn: 0.0000 0.0000 0.0000 [2 per cell]
Mn: 0.1643 0.5000 0.3105 [4 per cell]
Mn: 0.1784 0.5000 0.8602 [4 per cell]
Sb: 0.0000 0.0000 0.5000 [2 per cell]

***

18.
Here is CsTeSCl2 after structural relaxation from the Alexandria database. Energies are from GGA-PBEsol.

Values from the calculation:
E_tot ... -3.40 eV per atom

Cell lengths 5.4526, 5.4526, 5.1117 Å; angles 90.00, 90.00, 90.00 degrees
Space group P4/mmm (No. 123)
Symmetry-distinct sites (fractional):
Cs: 0.0000 0.0000 0.0000 [1 per cell]
Te: 0.5000 0.5000 0.5000 [1 per cell]
S: 0.5000 0.5000 0.0000 [1 per cell]
Cl: 0.0000 0.5000 0.5000 [2 per cell]

***

19.
Here is PbAu3 after structural relaxation from the Alexandria database. Energies are from GGA-PBEsol.

Values from the calculation:
E_tot ... -3.95 eV per atom

Cell lengths 4.5517, 5.7046, 6.2568 Å; angles 90.00, 90.00, 90.00 degrees
Space group Pmmn (No. 59, origin choice 2)
Symmetry-distinct sites (fractional):
Pb: 0.2500 0.2500 0.0996 [2 per cell]
Au: 0.2500 0.5026 0.6385 [4 per cell]
Au: 0.2500 0.7500 0.2392 [2 per cell]

***

20.
Here is Tl3Au2 after structural relaxation from the Alexandria database. Energies are from GGA-PBEsol.

Values from the calculation:
Energy above the most stable polymorph in this dataset ... 0 meV/atom
E_tot ... -3.12 eV per atom

Cell lengths 4.7671, 4.7671, 6.3444 Å; angles 90.00, 90.00, 120.00 degrees
Space group P-3m1 (No. 164)
Symmetry-distinct sites (fractional):
Tl: 0.0000 0.0000 0.0000 [1 per cell]
Tl: 0.3333 0.6667 0.3356 [2 per cell]
Au: 0.3333 0.6667 0.8047 [2 per cell]

***

21.
Here is Ba3CrCl after structural relaxation from the Alexandria database. Energies are from GGA-PBEsol.

Values from the calculation:
E_tot ... -3.86 eV per atom

Cell lengths 5.9640, 5.9640, 5.9640 Å; angles 90.00, 90.00, 90.00 degrees
Space group Pm-3m (No. 221)
Symmetry-distinct sites (fractional):
Ba: 0.0000 0.0000 0.5000 [3 per cell]
Cr: 0.5000 0.5000 0.5000 [1 per cell]
Cl: 0.0000 0.0000 0.0000 [1 per cell]

***

22.
Here is TeRu2Pt after structural relaxation from the Alexandria database. Energies are from GGA-PBEsol.

Values from the calculation:
E_tot ... -7.41 eV per atom

Cell lengths 2.9195, 3.7955, 5.7432 Å; angles 90.00, 90.00, 90.00 degrees
Space group Pmm2 (No. 25)
Symmetry-distinct sites (fractional):
Te: 0.0000 0.0000 0.0000 [1 per cell]
Ru: 0.0000 0.0000 0.5365 [1 per cell]
Ru: 0.5000 0.5000 0.7473 [1 per cell]
Pt: 0.5000 0.5000 0.2967 [1 per cell]

***

23.
Here is LaAgAu after structural relaxation from the Alexandria database. Energies are from GGA-PBEsol.

Values from the calculation:
Energy above the most stable polymorph in this dataset ... 265 meV/atom
E_tot ... -4.48 eV per atom

Cell lengths 6.7595, 6.7595, 6.7595 Å; angles 90.00, 90.00, 90.00 degrees
Space group F-43m (No. 216)
Symmetry-distinct sites (fractional):
La: 0.0000 0.0000 0.0000 [4 per cell]
Ag: 0.2500 0.2500 0.7500 [4 per cell]
Au: 0.0000 0.0000 0.5000 [4 per cell]

***

24.
Here is ScGaO3 after structural relaxation from the Alexandria database. Energies are from GGA-PBEsol.

Values from the calculation:
E_tot ... -7.84 eV per atom

Cell lengths 5.3447, 7.4646, 5.0176 Å; angles 90.00, 90.00, 90.00 degrees
Space group Pnma (No. 62)
Symmetry-distinct sites (fractional):
Sc: 0.0713 0.2500 0.0251 [4 per cell]
Ga: 0.0000 0.0000 0.5000 [4 per cell]
O: 0.0612 0.7500 0.3587 [4 per cell]
O: 0.1903 0.5716 0.8135 [8 per cell]

***

25.
Here is La3CdRu after structural relaxation from the Alexandria database. Energies are from GGA-PBEsol.

Values from the calculation:
E_tot ... -5.64 eV per atom

Cell lengths 5.4009, 5.4009, 5.4009 Å; angles 90.00, 90.00, 90.00 degrees
Space group Pm-3m (No. 221)
Symmetry-distinct sites (fractional):
La: 0.0000 0.0000 0.5000 [3 per cell]
Cd: 0.5000 0.5000 0.5000 [1 per cell]
Ru: 0.0000 0.0000 0.0000 [1 per cell]

***

26.
Here is Be2Ru after structural relaxation from the Alexandria database. Energies are from GGA-PBEsol.

Values from the calculation:
Energy above the most stable polymorph in this dataset ... 24 meV/atom
E_tot ... -6.36 eV per atom

Cell lengths 3.4569, 5.3548, 6.1197 Å; angles 90.00, 90.00, 90.00 degrees
Space group Imma (No. 74)
Symmetry-distinct sites (fractional):
Be: 0.0000 0.0406 0.1639 [8 per cell]
Ru: 0.0000 0.2500 0.5364 [4 per cell]